[1]
{
  "formula": "SrSbS2Cl",
  "functional": "PBE",
  "state": "optimized geometry",
  "lattice_angstrom": [[5.588, 0.000, 0.000], [0.000, 5.588, 0.000], [0.000, 0.000, 5.238]],
  "species": ["Sb", "S", "S", "Sr", "Cl"],
  "frac_coords": [[0.500, 0.500, 0.500], [0.500, 0.000, 0.000], [0.000, 0.500, 0.000], [0.000, 0.000, 0.000], [0.000, 0.000, 0.500]],
  "e_above_lowest_polymorph_mev_per_atom": 1132
}

[2]
{
  "formula": "SrSeN3",
  "functional": "PBE",
  "state": "optimized geometry",
  "lattice_angstrom": [[-2.018, -2.396, 2.404], [2.143, -3.068, -1.259], [2.632, 0.661, 2.868]],
  "species": ["N", "N", "N", "Sr", "Se"],
  "frac_coords": [[0.500, 0.000, 0.000], [0.000, 0.000, 0.500], [0.000, 0.500, 0.000], [0.500, 0.500, 0.500], [0.000, 0.000, 0.000]]
}

Per-record ΔE_f (raw), eV per atom: -0.115; 0.906
Per-record uncorrected energy, eV/atom: -3.30; -5.12